(1)
VASP calculation (PBE-GGA) on a relaxed structure of CaSc2Cr.

Energy above the most stable polymorph in this dataset, eV per atom: 0.233
SG: No. 123
Formation energy, meV per atom: 447.1

Geometry as extended XYZ:
```
4
Lattice="-0.2904 3.5449 3.5004 -4.0629 1.8606 -2.2214 -2.2661 -2.3416 2.1834" Properties=species:S:1:pos:R:3 pbc="T T T"
Sc -2.1767 2.7028 0.6395
Sc 0.0000 0.0000 0.0000
Ca -1.2782 0.6017 2.8419
Cr -3.1645 -0.2405 -0.0190
```

***

(2)
VASP calculation (PBE-GGA) on a relaxed structure of Tc2CS.

Energy above the most stable polymorph in this dataset, eV per atom: 0.000
SG: No. 122
Formation energy (no corrections), meV per atom: 229

Geometry as extended XYZ:
```
8
Lattice="-2.4912 4.1441 1.2773 -2.6019 -2.6069 3.3832 0.7440 1.7369 5.6070" Properties=species:S:1:pos:R:3 pbc="T T T"
Tc -1.8605 -0.4958 3.7317
Tc -1.5873 2.5172 2.5671
Tc -1.4657 1.7651 6.1008
Tc -3.7847 2.7618 8.1352
C -2.2023 -0.0507 5.6602
C -2.5466 0.7686 2.3302
S -2.1469 3.3248 4.6072
S 0.0000 0.0000 0.0000
```

***

(3)
VASP calculation (PBE-GGA) on a relaxed structure of Dy8Tm2Zn.

SG: No. 12
Formation energy, meV per atom: -23.0

Geometry as extended XYZ:
```
11
Lattice="-5.3347 -1.1300 -0.4481 1.0820 -5.9200 2.0487 1.2311 3.8950 8.9254" Properties=species:S:1:pos:R:3 pbc="T T T"
Dy -0.0354 -2.9225 7.7919
Dy -2.2398 -3.6209 2.3924
Dy -3.1756 -1.9357 9.2846
Dy 0.4235 -3.7390 4.3876
Dy -0.7818 0.4659 8.1336
Dy -2.9862 -0.2325 2.7341
Dy -3.4451 0.5840 6.1384
Dy 0.1540 -1.2193 1.2414
Zn -2.6673 -0.5650 -0.2240
Tm -2.6940 -2.7826 5.6866
Tm -0.3276 -0.3724 4.8394
```

***

- Which formula does entry 3 have?
  Dy8Tm2Zn